# 1
A relaxed structure of PrYPd6. Source: Alexandria via LeMat-Bulk, functional GGA-PBE.

a = 4.186 Å, b = 4.186 Å, c = 8.330 Å
α = 90.00°, β = 90.00°, γ = 90.00°
Sites, in units of the cell vectors:
Pd: 0.000 0.500 0.256
Pd: 0.000 0.500 0.744
Pd: 0.500 0.500 0.000
Pd: 0.500 0.500 0.500
Pd: 0.500 0.000 0.744
Pd: 0.500 0.000 0.256
Y: 0.000 0.000 0.500
Pr: 0.000 0.000 0.000

Summary:
Its energy of formation from the pure elements is -788 meV per atom. For the size of the total moment, the calculation gives 0.0 μB per formula unit.

***

# 2
A relaxed structure of HfTi4Co. Source: Alexandria via LeMat-Bulk, functional GGA-PBE.

a = 4.499 Å, b = 5.288 Å, c = 5.477 Å
α = 61.06°, β = 65.75°, γ = 64.82°
Sites, in units of the cell vectors:
Co: 0.000 0.000 0.000
Ti: 0.349 0.992 0.310
Ti: 0.651 0.008 0.690
Ti: 0.708 0.427 0.157
Ti: 0.292 0.573 0.843
Hf: 0.000 0.500 0.500

Summary:
Its energy of formation from the pure elements is -107 meV per atom. For the size of the total moment, the calculation gives 0.0 μB per formula unit.

***

# 3
A relaxed structure of Ca2PaTeO8. Source: Alexandria via LeMat-Bulk, functional GGA-PBE.

a = 5.097 Å, b = 5.101 Å, c = 6.880 Å
α = 90.00°, β = 90.00°, γ = 92.75°
Each line ends with the local moment (μB).
Sites, in units of the cell vectors:
Pa: 0.000 0.000 0.500  0.01
O: 0.271 0.270 0.000  0.17
O: 0.729 0.730 0.000  0.17
O: 0.176 0.823 0.217  0.10
O: 0.824 0.177 0.217  0.10
O: 0.286 0.285 0.500  0.04
O: 0.176 0.823 0.783  0.10
O: 0.824 0.177 0.783  0.10
O: 0.714 0.715 0.500  0.04
Ca: 0.500 0.500 0.760  0.00
Ca: 0.500 0.500 0.240  0.00
Te: 0.000 0.000 0.000  -0.02

Summary:
For the uncorrected formation energy, the calculation gives -2.37 eV/atom. For the size of the total moment, the calculation gives 1.0 μB per formula unit.

***

# 4
A relaxed structure of TiZn3H. Source: Alexandria via LeMat-Bulk, functional GGA-PBE.

a = 3.990 Å, b = 3.990 Å, c = 3.990 Å
α = 90.00°, β = 90.00°, γ = 90.00°
Sites, in units of the cell vectors:
Zn: 0.000 0.500 0.000
Zn: 0.500 0.000 0.000
Zn: 0.000 0.000 0.500
Ti: 0.500 0.500 0.500
H: 0.000 0.000 0.000

Summary:
Its energy above the lowest structure with this stoichiometry is 0 meV/atom. For the size of the total moment, the calculation gives 0.0 μB per formula unit.

***

# 5
A relaxed structure of KDyCdTe3. Source: Alexandria via LeMat-Bulk, functional GGA-PBE.

a = 4.508 Å, b = 9.525 Å, c = 10.793 Å
α = 107.64°, β = 90.00°, γ = 90.00°
Sites, in units of the cell vectors:
K: 0.750 0.788 0.761
K: 0.250 0.212 0.239
Te: 0.750 0.458 0.158
Te: 0.750 0.897 0.128
Te: 0.250 0.103 0.872
Te: 0.250 0.542 0.842
Te: 0.750 0.237 0.543
Te: 0.250 0.763 0.457
Dy: 0.750 0.328 0.863
Dy: 0.250 0.672 0.137
Cd: 0.750 0.917 0.392
Cd: 0.250 0.083 0.608

Summary:
For the uncorrected formation energy, the calculation gives -1.05 eV/atom. For the size of the total moment, the calculation gives 0.0 μB per formula unit.

***

# 6
A relaxed structure of CsNa2LiMg. Source: Alexandria via LeMat-Bulk, functional GGA-PBE.

a = 6.095 Å, b = 6.095 Å, c = 5.783 Å
α = 90.00°, β = 90.00°, γ = 90.00°
Sites, in units of the cell vectors:
Na: 0.000 0.500 0.000
Na: 0.500 0.000 0.000
Li: 0.000 0.000 0.000
Mg: 0.000 0.000 0.500
Cs: 0.500 0.500 0.500

Summary:
Its energy of formation from the pure elements is 158 meV per atom. For the size of the total moment, the calculation gives 0.0 μB per formula unit.